The following is a GGA-PBE calculation of a relaxed Hg2IrSe crystal, from the Alexandria database.

Calculated values
Mass density in g cm⁻³: 14.360
ΔE_f (raw) in meV/atom: 569
Energy in Ry/atom: -0.1961

The structure in POSCAR format:
```
Hg2IrSe
1.0
4.280 0.000 0.000
0.000 4.280 0.000
0.000 0.000 4.244
Hg Ir Se
2 1 1
direct
0.000 0.500 0.000 Hg
0.500 0.000 0.000 Hg
0.000 0.000 0.500 Ir
0.500 0.500 0.500 Se
```